# AgHg2Ir, relaxed, DFT PBE-GGA
# E (eV/cell): -21.65
# ΔH_f (0 K) (meV/atom): 373
data_AgHg2Ir
_chemical_formula_sum 'Ag2 Hg4 Ir2'
_cell_length_a 4.386
_cell_length_b 4.386
_cell_length_c 7.700
_cell_angle_alpha 90.00
_cell_angle_beta 90.00
_cell_angle_gamma 90.00
_symmetry_space_group_name_H-M 'I 4/m m m'
_symmetry_Int_Tables_number 139
_symmetry_space_group_name_Hall '-I 4 2'
loop_
_atom_site_label
_atom_site_type_symbol
_atom_site_fract_x
_atom_site_fract_y
_atom_site_fract_z
_atom_site_occupancy
Ag1 Ag 0.000 0.000 0.000 1
Hg1 Hg 0.000 0.500 0.250 1
Ir1 Ir 0.000 0.000 0.500 1


# Ta2AlF, relaxed, DFT PBE-GGA
# E (eV/cell): -109.88
data_Ta2AlF
_chemical_formula_sum 'Ta8 Al4 F4'
_cell_length_a 4.598
_cell_length_b 4.598
_cell_length_c 14.546
_cell_angle_alpha 90.00
_cell_angle_beta 90.00
_cell_angle_gamma 90.00
_symmetry_space_group_name_H-M 'I -4 2 d'
_symmetry_Int_Tables_number 122
_symmetry_space_group_name_Hall 'I -4 2bw'
loop_
_atom_site_label
_atom_site_type_symbol
_atom_site_fract_x
_atom_site_fract_y
_atom_site_fract_z
_atom_site_occupancy
Ta1 Ta 0.140 0.250 0.125 1
Al1 Al 0.000 0.000 0.500 1
F1 F 0.000 0.000 0.000 1


# PmErFe10, relaxed, DFT PBE-GGA
# E (eV/cell): -94.20
# ΔH_f (0 K) (meV/atom): -22
data_PmErFe10
_chemical_formula_sum 'Pm1 Er1 Fe10'
_cell_length_a 3.948
_cell_length_b 5.028
_cell_length_c 8.678
_cell_angle_alpha 90.00
_cell_angle_beta 90.00
_cell_angle_gamma 90.00
_symmetry_space_group_name_H-M 'P m m m'
_symmetry_Int_Tables_number 47
loop_
_symmetry_equiv_pos_as_xyz
'x,y,z'
'-x,-y,-z'
'-x,-y,z'
'x,y,-z'
'x,-y,-z'
'-x,y,z'
'-x,y,-z'
'x,-y,z'
loop_
_atom_site_label
_atom_site_type_symbol
_atom_site_fract_x
_atom_site_fract_y
_atom_site_fract_z
_atom_site_occupancy
Pm1 Pm 0.000 0.000 0.000 1
Er1 Er 0.000 0.500 0.500 1
Fe1 Fe 0.000 0.000 0.337 1
Fe2 Fe 0.000 0.500 0.170 1
Fe3 Fe 0.500 0.000 0.500 1
Fe4 Fe 0.500 0.252 0.254 1
Fe5 Fe 0.500 0.500 0.000 1